Entry from Alexandria: La2MgCoSe after structural relaxation (PBE-GGA).

Summary:
- E_form (uncorrected): -0.349 eV/atom
- Spin magnetization: 0.00 μB per formula unit

a b c (Å): 5.340 5.340 4.612
angles (deg): 90.00 90.00 90.00
Atoms (fractional coordinates):
La 0.000 0.500 0.000
La 0.500 0.000 0.000
Mg 0.000 0.000 0.500
Co 0.500 0.500 0.000
Se 0.500 0.500 0.500

Entry from Alexandria: Pa8H after structural relaxation (PBE-GGA).

Summary:
- Spin magnetization: 0.00 μB per formula unit

a b c (Å): 6.374 6.374 5.747
angles (deg): 90.00 90.00 120.00
Atoms (fractional coordinates):
Pa 0.168 0.336 0.243
Pa 0.168 0.832 0.243
Pa 0.333 0.667 0.738
Pa 0.336 0.168 0.757
Pa 0.664 0.832 0.243
Pa 0.667 0.333 0.262
Pa 0.832 0.168 0.757
Pa 0.832 0.664 0.757
H 0.000 0.000 0.500

For reference, DFT total energy by record: -4.757, -8.844 eV/atom.